# 1
A relaxed structure of SrSbPdPt. Source: Alexandria via LeMat-Bulk, functional PBE.

energy: -4.79 eV/atom
spin magnetization: 0.000 μB per atom
DOS at the Fermi energy: 0.35 states/eV per atom
V: 202.89 Å³/cell

abc: 4.9338 4.3424 9.4700
angles: 90.00 90.00 90.00
With the nearest neighbours (Å) after each atom.
Space group Amm2 (No. 38)
Asymmetric unit:
Sr 0.0000 0.0000 0.0000 [2 per cell]  3 Pt 2.78-2.92
Sb 0.5000 0.0000 0.3792 [2 per cell]  2 Pt 2.60, 2 Pd 2.75
Pd 0.5000 0.0000 0.7002 [2 per cell]  3 Sb 2.75-3.04
Pt 0.0000 0.0000 0.2935 [2 per cell]  2 Sb 2.60, 1 Sr 2.78



# 2
A relaxed structure of Sr2Sb3Pd4Pt. Source: Alexandria via LeMat-Bulk, functional PBE.

energy: -4.96 eV/atom
spin magnetization: 0.000 μB per atom
DOS at the Fermi energy: 0.58 states/eV per atom
V: 227.56 Å³/cell

abc: 4.5241 4.5241 11.1181
angles: 90.00 90.00 90.00
With the nearest neighbours (Å) after each atom.
Space group P-4m2 (No. 115)
Asymmetric unit:
Sr 0.0000 0.5000 0.2395 [2 per cell]  8 Pd 3.40-3.68, 2 Pt 3.49, 6 Sb 3.49-3.52
Sb 0.0000 0.0000 0.0000 [1 per cell]  4 Pd 2.73
Sb 0.0000 0.5000 0.6289 [2 per cell]  5 Pd 2.60-2.68
Pd 0.0000 0.0000 0.5000 [1 per cell]  4 Sb 2.68
Pd 0.0000 0.5000 0.8630 [2 per cell]  3 Sb 2.60-2.73, 2 Pt 2.73
Pd 0.5000 0.5000 0.5000 [1 per cell]  4 Sb 2.68
Pt 0.5000 0.5000 0.0000 [1 per cell]  4 Pd 2.73



# 3
A relaxed structure of SrSbPd2Pt2. Source: Alexandria via LeMat-Bulk, functional PBE.

energy: -4.71 eV/atom
spin magnetization: 0.000 μB per atom
DOS at the Fermi energy: 1.24 states/eV per atom
V: 150.71 Å³/cell

abc: 4.9922 4.9922 6.0472
angles: 90.00 90.00 90.00
With the nearest neighbours (Å) after each atom.
Space group P4/mmm (No. 123)
Asymmetric unit:
Sr 0.0000 0.0000 0.0000 [1 per cell]  2 Sb 3.02
Sb 0.0000 0.0000 0.5000 [1 per cell]  4 Pt 2.50
Pd 0.5000 0.5000 0.2757 [2 per cell]  1 Pd 2.71, 4 Pt 2.84
Pt 0.0000 0.5000 0.5000 [2 per cell]  2 Sb 2.50



# 4
A relaxed structure of Sr2Sb4PdPt3. Source: Alexandria via LeMat-Bulk, functional PBE.

energy: -5.11 eV/atom
spin magnetization: 0.000 μB per atom
DOS at the Fermi energy: 0.50 states/eV per atom
V: 239.03 Å³/cell

abc: 4.7367 4.7367 10.6541
angles: 90.00 90.00 90.00
With the nearest neighbours (Å) after each atom.
Space group P-4m2 (No. 115)
Asymmetric unit:
Sr 0.0000 0.5000 0.2398 [2 per cell]  2 Pd 3.48, 6 Pt 3.48-3.65, 8 Sb 3.56-3.65
Sb 0.0000 0.0000 0.5000 [1 per cell]  4 Pt 2.72
Sb 0.0000 0.5000 0.8734 [2 per cell]  3 Pt 2.65-2.73, 2 Pd 2.73
Sb 0.5000 0.5000 0.5000 [1 per cell]  4 Pt 2.72
Pd 0.5000 0.5000 0.0000 [1 per cell]  4 Sb 2.73
Pt 0.0000 0.0000 0.0000 [1 per cell]  4 Sb 2.73
Pt 0.0000 0.5000 0.6251 [2 per cell]  5 Sb 2.65-2.72



# 5
A relaxed structure of TaSbPdPt2. Source: Alexandria via LeMat-Bulk, functional PBE.

energy: -5.45 eV/atom
spin magnetization: 0.000 μB per atom
DOS at the Fermi energy: 1.49 states/eV per atom
V: 111.36 Å³/cell

abc: 4.8791 4.8791 4.6778
angles: 90.00 90.00 90.00
With the nearest neighbours (Å) after each atom.
Space group P4/mmm (No. 123)
Asymmetric unit:
Ta 0.0000 0.0000 0.0000 [1 per cell]  8 Pt 3.38, 4 Sb 3.45
Sb 0.5000 0.5000 0.0000 [1 per cell]  2 Pd 2.34
Pd 0.5000 0.5000 0.5000 [1 per cell]  2 Sb 2.34, 4 Pt 2.44
Pt 0.0000 0.5000 0.5000 [2 per cell]  2 Pd 2.44



# 6
A relaxed structure of TbSbPdPt. Source: Alexandria via LeMat-Bulk, functional PBE.

energy: -5.84 eV/atom
spin magnetization: 0.000 μB per atom
DOS at the Fermi energy: 0.72 states/eV per atom
V: 320.83 Å³/cell

abc: 6.8458 6.8458 6.8458
angles: 90.00 90.00 90.00
With the nearest neighbours (Å) after each atom.
Space group F-43m (No. 216)
Asymmetric unit:
Tb 0.0000 0.0000 0.0000 [4 per cell]  4 Pt 2.96, 4 Pd 2.96
Sb 0.0000 0.0000 0.5000 [4 per cell]  4 Pd 2.96, 4 Pt 2.96
Pd 0.2500 0.2500 0.7500 [4 per cell]  4 Tb 2.96, 4 Sb 2.96
Pt 0.2500 0.2500 0.2500 [4 per cell]  4 Tb 2.96, 4 Sb 2.96



# 7
A relaxed structure of Sb2Te2Pd7Pt. Source: Alexandria via LeMat-Bulk, functional PBE.

energy: -4.99 eV/atom
spin magnetization: 0.000 μB per atom
DOS at the Fermi energy: 0.72 states/eV per atom
V: 495.28 Å³/cell

abc: 5.6117 5.6118 15.9697
angles: 90.00 99.99 90.00
With the nearest neighbours (Å) after each atom.
Space group C2/m (No. 12)
Asymmetric unit:
Sb 0.1191 0.0000 0.2388 [4 per cell]  5 Pd 2.62-2.63
Te 0.2112 0.5000 0.4204 [4 per cell]  5 Pd 2.74-2.82
Pd 0.0000 0.0000 0.0000 [2 per cell]  4 Pt 2.81, 8 Pd 2.84-2.85
Pd 0.1854 0.2499 0.8704 [8 per cell]  2 Sb 2.62-2.63, 6 Pd 2.80-2.85, 2 Pt 2.84-2.85
Pd 0.2043 0.0000 0.4057 [4 per cell]  1 Sb 2.62, 5 Te 2.74-2.82
Pt 0.0000 0.5000 0.0000 [2 per cell]  12 Pd 2.81-2.85



# 8
A relaxed structure of ThSbPdPt. Source: Alexandria via LeMat-Bulk, functional PBE.

energy: -6.51 eV/atom
spin magnetization: 0.000 μB per atom
DOS at the Fermi energy: 0.77 states/eV per atom
V: 346.91 Å³/cell

abc: 7.0265 7.0265 7.0265
angles: 90.00 90.00 90.00
With the nearest neighbours (Å) after each atom.
Space group F-43m (No. 216)
Asymmetric unit:
Th 0.0000 0.0000 0.0000 [4 per cell]  4 Pd 3.04, 4 Pt 3.04
Sb 0.0000 0.0000 0.5000 [4 per cell]  4 Pd 3.04, 4 Pt 3.04
Pd 0.2500 0.2500 0.2500 [4 per cell]  4 Th 3.04, 4 Sb 3.04
Pt 0.2500 0.2500 0.7500 [4 per cell]  4 Th 3.04, 4 Sb 3.04



# 9
A relaxed structure of TiSbPdPt. Source: Alexandria via LeMat-Bulk, functional PBE.

energy: -6.30 eV/atom
spin magnetization: 0.078 μB per atom
DOS at the Fermi energy: 0.83 states/eV per atom
V: 277.81 Å³/cell

abc: 6.5251 6.5251 6.5251
angles: 90.00 90.00 90.00
With the nearest neighbours (Å) after each atom.
Space group F-43m (No. 216)
Asymmetric unit:
Ti 0.0000 0.0000 0.0000 [4 per cell]  4 Pd 2.83, 4 Pt 2.83
Sb 0.0000 0.0000 0.5000 [4 per cell]  4 Pd 2.83, 4 Pt 2.83
Pd 0.2500 0.2500 0.2500 [4 per cell]  4 Sb 2.83, 4 Ti 2.83
Pt 0.2500 0.2500 0.7500 [4 per cell]  4 Sb 2.83, 4 Ti 2.83



# 10
A relaxed structure of TiSbPd2Pt. Source: Alexandria via LeMat-Bulk, functional PBE.

energy: -5.04 eV/atom
spin magnetization: 0.000 μB per atom
DOS at the Fermi energy: 0.56 states/eV per atom
V: 106.96 Å³/cell

abc: 4.5676 4.5676 5.1270
angles: 90.00 90.00 90.00
With the nearest neighbours (Å) after each atom.
Space group P4/mmm (No. 123)
Asymmetric unit:
Ti 0.0000 0.0000 0.0000 [1 per cell]  4 Pd 2.28
Sb 0.0000 0.0000 0.5000 [1 per cell]  2 Ti 2.56
Pd 0.0000 0.5000 0.0000 [2 per cell]  2 Ti 2.28
Pt 0.5000 0.5000 0.5000 [1 per cell]  4 Sb 3.23, 8 Pd 3.43



# 11
A relaxed structure of TmSbPdPt. Source: Alexandria via LeMat-Bulk, functional PBE.

energy: -5.82 eV/atom
spin magnetization: 0.000 μB per atom
DOS at the Fermi energy: 0.77 states/eV per atom
V: 312.16 Å³/cell

abc: 6.7836 6.7836 6.7836
angles: 90.00 90.00 90.00
With the nearest neighbours (Å) after each atom.
Space group F-43m (No. 216)
Asymmetric unit:
Tm 0.0000 0.0000 0.0000 [4 per cell]  4 Pd 2.94, 4 Pt 2.94
Sb 0.0000 0.0000 0.5000 [4 per cell]  4 Pd 2.94, 4 Pt 2.94
Pd 0.2500 0.2500 0.2500 [4 per cell]  4 Sb 2.94, 4 Tm 2.94
Pt 0.2500 0.2500 0.7500 [4 per cell]  4 Sb 2.94, 4 Tm 2.94



# 12
A relaxed structure of USbPdPt. Source: Alexandria via LeMat-Bulk, functional PBE.

energy: -7.14 eV/atom
spin magnetization: 0.410 μB per atom
DOS at the Fermi energy: 1.78 states/eV per atom
V: 321.18 Å³/cell

abc: 6.8483 6.8483 6.8483
angles: 90.00 90.00 90.00
With the nearest neighbours (Å) after each atom.
Space group F-43m (No. 216)
Asymmetric unit:
U 0.0000 0.0000 0.0000 [4 per cell]  4 Pt 2.97, 4 Pd 2.97
Sb 0.0000 0.0000 0.5000 [4 per cell]  4 Pd 2.97, 4 Pt 2.97
Pd 0.2500 0.2500 0.7500 [4 per cell]  4 Sb 2.97, 4 U 2.97
Pt 0.2500 0.2500 0.2500 [4 per cell]  4 Sb 2.97, 4 U 2.97



The evaluated energy relative to the elements, uncorrected for the records listed, in turn: -0.529, -0.702, 0.006, -0.796, 1.205, -0.844, -0.251, -0.812, -0.486, 0.649, -0.861, -0.477 eV per atom.